No. 1
Compound: VZnO3
Source: Alexandria via LeMat-Bulk
Functional: PBEsol
Structure: optimized geometry

Cell: 5.106 5.038 7.356 Å, 90.00 90.00 90.00°
Last column: magnetic moment on the atom in μB.
Element x y z (fractional)
V (0.000, 0.000, 0.500)  1.01
V (0.500, 0.500, 0.500)  1.01
V (0.500, 0.500, 0.000)  1.01
V (0.000, 0.000, 0.000)  1.01
Zn (0.042, 0.498, 0.750)  0.01
Zn (0.458, 0.998, 0.250)  0.01
Zn (0.542, 0.002, 0.750)  0.01
Zn (0.958, 0.502, 0.250)  0.01
O (0.554, 0.384, 0.250)  -0.01
O (0.946, 0.884, 0.750)  -0.01
O (0.054, 0.116, 0.250)  -0.01
O (0.446, 0.616, 0.750)  -0.01
O (0.313, 0.180, 0.940)  -0.03
O (0.187, 0.680, 0.060)  -0.03
O (0.813, 0.320, 0.560)  -0.03
O (0.687, 0.820, 0.440)  -0.03
O (0.313, 0.180, 0.560)  -0.03
O (0.187, 0.680, 0.440)  -0.03
O (0.687, 0.820, 0.060)  -0.03
O (0.813, 0.320, 0.940)  -0.03



No. 2
Compound: ZrV2O7
Source: Alexandria via LeMat-Bulk
Functional: PBEsol
Structure: optimized geometry

Cell: 8.917 8.917 8.917 Å, 90.00 90.00 90.00°
Element x y z (fractional)
Zr (0.500, 0.000, 0.500)
Zr (0.000, 0.000, 0.000)
Zr (0.500, 0.500, 0.000)
Zr (0.000, 0.500, 0.500)
V (0.386, 0.386, 0.386)
V (0.614, 0.614, 0.614)
V (0.386, 0.114, 0.886)
V (0.114, 0.614, 0.886)
V (0.114, 0.886, 0.386)
V (0.886, 0.386, 0.114)
V (0.886, 0.114, 0.614)
V (0.614, 0.886, 0.114)
O (0.000, 0.000, 0.500)
O (0.500, 0.500, 0.500)
O (0.795, 0.910, 0.064)
O (0.564, 0.705, 0.090)
O (0.090, 0.936, 0.205)
O (0.500, 0.000, 0.000)
O (0.936, 0.295, 0.590)
O (0.205, 0.410, 0.436)
O (0.410, 0.064, 0.705)
O (0.910, 0.436, 0.295)
O (0.705, 0.410, 0.064)
O (0.295, 0.590, 0.936)
O (0.564, 0.795, 0.590)
O (0.064, 0.795, 0.910)
O (0.795, 0.590, 0.564)
O (0.410, 0.436, 0.205)
O (0.436, 0.205, 0.410)
O (0.910, 0.064, 0.795)
O (0.090, 0.564, 0.705)
O (0.590, 0.936, 0.295)
O (0.000, 0.500, 0.000)
O (0.705, 0.090, 0.564)
O (0.936, 0.205, 0.090)
O (0.205, 0.090, 0.936)
O (0.064, 0.705, 0.410)
O (0.295, 0.910, 0.436)
O (0.590, 0.564, 0.795)
O (0.436, 0.295, 0.910)



No. 3
Compound: WO3
Source: Alexandria via LeMat-Bulk
Functional: PBEsol
Structure: optimized geometry

Cell: 7.397 7.397 7.671 Å, 90.00 90.00 120.00°
Element x y z (fractional)
W (0.000, 0.476, 0.230)
W (0.524, 0.524, 0.230)
W (0.476, 0.000, 0.230)
W (0.000, 0.524, 0.730)
W (0.476, 0.476, 0.730)
W (0.524, 0.000, 0.730)
O (0.218, 0.427, 0.250)
O (0.573, 0.791, 0.250)
O (0.209, 0.782, 0.250)
O (0.782, 0.209, 0.250)
O (0.427, 0.218, 0.250)
O (0.791, 0.573, 0.250)
O (0.782, 0.573, 0.750)
O (0.427, 0.209, 0.750)
O (0.791, 0.218, 0.750)
O (0.218, 0.791, 0.750)
O (0.573, 0.782, 0.750)
O (0.209, 0.427, 0.750)
O (0.000, 0.498, 0.996)
O (0.502, 0.502, 0.996)
O (0.498, 0.000, 0.996)
O (0.000, 0.502, 0.496)
O (0.498, 0.498, 0.496)
O (0.502, 0.000, 0.496)



No. 4
Compound: WO3
Source: Alexandria via LeMat-Bulk
Functional: PBEsol
Structure: optimized geometry

Cell: 3.788 3.898 7.549 Å, 90.00 90.00 90.00°
Element x y z (fractional)
O (0.500, 0.989, 0.250)
O (0.500, 0.011, 0.750)
O (0.000, 0.514, 0.750)
O (0.000, 0.486, 0.250)
O (0.000, 0.000, 0.500)
O (0.000, 0.000, 0.000)
W (0.000, 0.058, 0.750)
W (0.000, 0.942, 0.250)



No. 5
Compound: WO3
Source: Alexandria via LeMat-Bulk
Functional: PBEsol
Structure: optimized geometry

Cell: 5.260 5.260 7.826 Å, 90.00 90.00 90.00°
Element x y z (fractional)
W (0.000, 0.500, 0.220)
W (0.000, 0.500, 0.720)
W (0.500, 0.000, 0.280)
W (0.500, 0.000, 0.780)
O (0.294, 0.294, 0.750)
O (0.794, 0.794, 0.250)
O (0.294, 0.706, 0.250)
O (0.206, 0.206, 0.250)
O (0.794, 0.206, 0.750)
O (0.706, 0.706, 0.750)
O (0.206, 0.794, 0.750)
O (0.706, 0.294, 0.250)
O (0.000, 0.500, 0.993)
O (0.500, 0.000, 0.507)
O (0.000, 0.500, 0.493)
O (0.500, 0.000, 0.007)



No. 6
Compound: WO3
Source: Alexandria via LeMat-Bulk
Functional: PBEsol
Structure: optimized geometry

Cell: 3.808 7.406 7.406 Å, 120.00 90.00 90.00°
Element x y z (fractional)
W (0.000, 0.500, 0.000)
W (0.000, 0.000, 0.500)
W (0.000, 0.500, 0.500)
O (0.000, 0.785, 0.215)
O (0.000, 0.429, 0.215)
O (0.000, 0.215, 0.785)
O (0.000, 0.215, 0.429)
O (0.500, 0.000, 0.500)
O (0.500, 0.500, 0.500)
O (0.500, 0.500, 0.000)
O (0.000, 0.785, 0.571)
O (0.000, 0.571, 0.785)



No. 7
Compound: WO3
Source: Alexandria via LeMat-Bulk
Functional: PBEsol
Structure: optimized geometry

Cell: 3.911 12.093 12.093 Å, 90.00 90.00 90.00°
Element x y z (fractional)
W (0.573, 0.000, 0.500)
W (0.427, 0.500, 0.000)
W (0.441, 0.293, 0.577)
W (0.559, 0.207, 0.077)
W (0.441, 0.707, 0.423)
W (0.559, 0.793, 0.923)
W (0.559, 0.577, 0.707)
W (0.441, 0.923, 0.207)
W (0.559, 0.423, 0.293)
W (0.441, 0.077, 0.793)
O (0.025, 0.000, 0.500)
O (0.975, 0.500, 0.000)
O (0.988, 0.294, 0.577)
O (0.012, 0.206, 0.077)
O (0.988, 0.706, 0.423)
O (0.012, 0.794, 0.923)
O (0.012, 0.577, 0.706)
O (0.988, 0.923, 0.206)
O (0.012, 0.423, 0.294)
O (0.988, 0.077, 0.794)
O (0.515, 0.712, 0.788)
O (0.485, 0.788, 0.288)
O (0.515, 0.288, 0.212)
O (0.485, 0.212, 0.712)
O (0.493, 0.504, 0.845)
O (0.507, 0.996, 0.345)
O (0.493, 0.496, 0.155)
O (0.507, 0.004, 0.655)
O (0.507, 0.845, 0.496)
O (0.493, 0.655, 0.996)
O (0.507, 0.155, 0.504)
O (0.493, 0.345, 0.004)
O (0.504, 0.432, 0.643)
O (0.496, 0.068, 0.143)
O (0.504, 0.568, 0.357)
O (0.496, 0.932, 0.857)
O (0.496, 0.643, 0.568)
O (0.504, 0.857, 0.068)
O (0.496, 0.357, 0.432)
O (0.504, 0.143, 0.932)



No. 8
Compound: WO3
Source: Alexandria via LeMat-Bulk
Functional: PBEsol
Structure: optimized geometry

Cell: 3.808 3.808 3.808 Å, 90.00 90.00 90.00°
Element x y z (fractional)
W (0.000, 0.000, 0.000)
O (0.000, 0.000, 0.500)
O (0.000, 0.500, 0.000)
O (0.500, 0.000, 0.000)



Quick rundown of formation energy without anion corrections, same order as above: -1929.9 -2679.7 -2123.6 -2120.8 -2124.9 -2106.6 -2124.9 -2106.8 meV/atom
Quick rundown of total magnetic moment, same order as above: 4.02 0.00 0.00 0.00 0.00 0.00 0.00 0.00 Bohr magnetons per cell
Quick rundown of VASP energy, same order as above: -7.32 -9.19 -9.51 -9.51 -9.51 -9.50 -9.51 -9.50 eV per atom